This record from Alexandria describes a relaxed structure of SrMg2Zn2. The functional is PBE.

Cell and atoms, written as CIF:
```
data_SrMg2Zn2
_chemical_formula_sum 'Sr1 Mg2 Zn2'
_symmetry_space_group_name_H-M 'P 1'
_symmetry_Int_Tables_number 1
_cell_length_a 4.9306
_cell_length_b 4.9306
_cell_length_c 6.2909
_cell_angle_alpha 66.93
_cell_angle_beta 66.93
_cell_angle_gamma 90.00
loop_
_symmetry_equiv_pos_as_xyz
'x,y,z'
loop_
_atom_site_label
_atom_site_type_symbol
_atom_site_fract_x
_atom_site_fract_y
_atom_site_fract_z
Mg1 Mg 0.6400 0.6400 0.7200
Mg2 Mg 0.3600 0.3600 0.2800
Zn1 Zn 0.7500 0.2500 0.5000
Zn2 Zn 0.2500 0.7500 0.5000
Sr1 Sr 0.0000 0.0000 0.0000
```

Calculated values
Symmetry ... No. 139
Uncorrected energy ... -7.7 eV for the cell shown
Formation energy ... -0.06 eV/atom
DOS at the Fermi energy ... 0.63 states/eV per atom

---

This record from Alexandria describes a relaxed structure of Sr5MgZn4. The functional is PBE.

Cell and atoms, written as CIF:
```
data_Sr5MgZn4
_chemical_formula_sum 'Sr5 Mg1 Zn4'
_symmetry_space_group_name_H-M 'P 1'
_symmetry_Int_Tables_number 1
_cell_length_a 3.9330
_cell_length_b 3.9330
_cell_length_c 20.0958
_cell_angle_alpha 90.00
_cell_angle_beta 90.00
_cell_angle_gamma 90.00
loop_
_symmetry_equiv_pos_as_xyz
'x,y,z'
loop_
_atom_site_label
_atom_site_type_symbol
_atom_site_fract_x
_atom_site_fract_y
_atom_site_fract_z
Sr1 Sr 0.5000 0.5000 0.6935
Sr2 Sr 0.5000 0.5000 0.5000
Sr3 Sr 0.5000 0.5000 0.1140
Sr4 Sr 0.5000 0.5000 0.8860
Sr5 Sr 0.5000 0.5000 0.3065
Zn1 Zn 0.0000 0.0000 0.5964
Zn2 Zn 0.0000 0.0000 0.4036
Zn3 Zn 0.0000 0.0000 0.2077
Zn4 Zn 0.0000 0.0000 0.7923
Mg1 Mg 0.0000 0.0000 0.0000
```

Calculated values
Symmetry ... No. 123
Uncorrected energy ... -16.6 eV for the cell shown
Formation energy ... -0.16 eV/atom
DOS at the Fermi energy ... 0.71 states/eV per atom